The following is a DFT calculation (meta-GGA SCAN) of a crystal of Pb17Au12 relaxed with PBEsol.

POSCAR file:
```
Pb17Au12
1.0
-8.249 2.403 4.381
6.724 -1.927 6.641
2.954 7.326 -5.534
Au Pb
12 17
direct
0.181 0.367 0.367
0.819 0.186 0.186
0.000 0.814 0.633
0.000 0.633 0.814
0.367 0.181 0.367
0.186 0.819 0.186
0.633 0.000 0.814
0.814 0.000 0.633
0.367 0.367 0.181
0.186 0.186 0.819
0.814 0.633 0.000
0.633 0.814 0.000
0.707 0.397 0.397
0.293 0.690 0.690
0.000 0.310 0.603
0.000 0.603 0.310
0.397 0.707 0.397
0.690 0.293 0.690
0.603 0.000 0.310
0.310 0.000 0.603
0.397 0.397 0.707
0.690 0.690 0.293
0.310 0.603 0.000
0.603 0.310 0.000
0.672 0.672 0.672
0.328 0.000 0.000
0.000 0.000 0.328
0.000 0.328 0.000
0.000 0.000 0.000
```

* space-group type: I-43m (217)
* energy of formation: 0.037 eV/atom

---

The following is a DFT calculation (meta-GGA SCAN) of a crystal of Pb3Au relaxed with PBEsol.

POSCAR file:
```
Pb3Au
1.0
4.697 0.000 0.000
0.000 4.697 0.000
0.000 0.000 4.697
Pb Au
3 1
direct
0.000 0.500 0.500
0.500 0.000 0.500
0.500 0.500 0.000
0.000 0.000 0.000
```

* space-group type: Pm-3m (221)
* energy of formation: 0.063 eV/atom

---

The following is a DFT calculation (meta-GGA SCAN) of a crystal of PbAu5 relaxed with PBEsol.

POSCAR file:
```
PbAu5
1.0
4.598 0.000 0.000
0.000 5.525 0.000
0.000 -2.762 4.785
Pb Au
1 5
direct
0.000 0.000 0.000
0.000 0.667 0.333
0.000 0.333 0.667
0.500 0.500 0.500
0.500 0.000 0.500
0.500 0.500 0.000
```

* space-group type: P6/mmm (191)
* energy of formation: 0.008 eV/atom

---

The following is a DFT calculation (meta-GGA SCAN) of a crystal of Pb3Au2 relaxed with PBEsol.

POSCAR file:
```
Pb3Au2
1.0
-2.131 3.840 -1.972
-2.367 -2.672 3.229
2.300 3.725 4.769
Pb Au
3 2
direct
0.000 0.000 0.000
0.333 0.667 0.333
0.667 0.333 0.667
0.333 0.667 0.803
0.667 0.333 0.197
```

* space-group type: P-3m1 (164)
* energy of formation: -0.050 eV/atom

---

The following is a DFT calculation (meta-GGA SCAN) of a crystal of Pb3Au relaxed with PBEsol.

POSCAR file:
```
Pb3Au
1.0
-3.586 -0.861 2.827
-2.808 -0.395 -3.681
4.149 -4.067 0.204
Pb Au
3 1
direct
0.750 0.250 0.500
0.500 0.500 0.000
0.250 0.750 0.500
0.000 0.000 0.000
```

* space-group type: I4/mmm (139)
* energy of formation: 0.059 eV/atom

---

The following is a DFT calculation (meta-GGA SCAN) of a crystal of Pb3Au4 relaxed with PBEsol.

POSCAR file:
```
Pb3Au4
1.0
-3.396 0.644 -0.586
-0.202 -2.877 -1.994
-1.257 -5.726 11.470
Pb Au
3 4
direct
0.000 0.000 0.000
0.695 0.695 0.389
0.305 0.305 0.611
0.872 0.872 0.745
0.128 0.128 0.255
0.572 0.572 0.144
0.428 0.428 0.856
```

* space-group type: I4/mmm (139)
* energy of formation: -0.006 eV/atom

---

The following is a DFT calculation (meta-GGA SCAN) of a crystal of Pb3Au relaxed with PBEsol.

POSCAR file:
```
Pb3Au
1.0
-3.262 -1.674 -0.101
0.329 -0.288 -5.847
3.743 -3.476 3.321
Pb Au
3 1
direct
0.500 0.419 0.000
0.293 0.650 0.586
0.707 0.064 0.414
0.000 0.034 0.000
```

* space-group type: Imm2 (44)
* energy of formation: -0.015 eV/atom

---

The following is a DFT calculation (meta-GGA SCAN) of a crystal of Pb3Au relaxed with PBEsol.

POSCAR file:
```
Pb3Au
1.0
6.035 0.000 0.000
3.018 8.597 0.000
3.018 0.000 8.597
Au Pb
4 12
direct
0.206 0.294 0.294
0.794 0.706 0.706
0.500 0.706 0.294
0.500 0.294 0.706
0.642 0.358 0.358
0.358 0.642 0.642
0.000 0.642 0.358
0.000 0.358 0.642
0.147 0.192 0.000
0.339 0.808 0.000
0.661 0.000 0.192
0.853 0.000 0.808
0.536 0.402 0.000
0.938 0.598 0.000
0.062 0.000 0.402
0.464 0.000 0.598
```

* space-group type: I-42m (121)
* energy of formation: -0.057 eV/atom

---

The following is a DFT calculation (meta-GGA SCAN) of a crystal of Pb3Au relaxed with PBEsol.

POSCAR file:
```
Pb3Au
1.0
-3.620 -4.774 -1.824
4.545 -1.355 -5.474
4.901 -5.821 5.510
Au Pb
4 12
direct
0.560 0.905 0.750
0.060 0.595 0.250
0.940 0.405 0.750
0.440 0.095 0.250
0.106 0.016 0.750
0.606 0.484 0.250
0.394 0.516 0.750
0.894 0.984 0.250
0.653 0.198 0.953
0.153 0.302 0.047
0.847 0.698 0.547
0.347 0.802 0.453
0.347 0.802 0.047
0.847 0.698 0.953
0.153 0.302 0.453
0.653 0.198 0.547
```

* space-group type: Pnma (62)
* energy of formation: -0.030 eV/atom

---

The following is a DFT calculation (meta-GGA SCAN) of a crystal of Pb5Au relaxed with PBEsol.

POSCAR file:
```
Pb5Au
1.0
3.530 0.000 0.000
0.000 5.554 0.000
-1.765 0.000 8.451
Pb Au
5 1
direct
0.329 0.000 0.658
0.615 0.000 0.231
0.472 0.500 0.945
0.804 0.500 0.608
0.140 0.500 0.281
0.972 0.000 0.944
```

* space-group type: Cmmm (65)
* energy of formation: 0.036 eV/atom

---

The following is a DFT calculation (meta-GGA SCAN) of a crystal of Pb3Au relaxed with PBEsol.

POSCAR file:
```
Pb3Au
1.0
-0.343 -0.516 -3.393
2.124 -2.710 0.198
-6.872 -5.277 1.497
Pb Au
3 1
direct
0.500 0.500 0.790
0.000 0.000 0.500
0.500 0.500 0.210
0.000 0.000 0.000
```

* space-group type: P4/mmm (123)
* energy of formation: -0.019 eV/atom

---

The following is a DFT calculation (meta-GGA SCAN) of a crystal of PbAu5 relaxed with PBEsol.

POSCAR file:
```
PbAu5
1.0
-3.072 0.310 -1.981
2.682 -4.257 -1.428
-3.627 -1.417 5.402
Pb Au
1 5
direct
0.000 0.000 0.000
0.678 0.356 0.817
0.000 0.000 0.500
0.322 0.644 0.183
0.337 0.675 0.647
0.663 0.325 0.353
```

* space-group type: C2/m (12)
* energy of formation: 0.057 eV/atom

---

The following is a DFT calculation (meta-GGA SCAN) of a crystal of PbAu5 relaxed with PBEsol.

POSCAR file:
```
PbAu5
1.0
-2.202 -0.939 3.970
4.328 -2.571 1.792
-0.572 5.232 0.920
Pb Au
1 5
direct
0.500 0.000 0.000
0.000 0.396 0.396
0.000 0.604 0.000
0.000 0.000 0.604
0.500 0.333 0.667
0.500 0.667 0.333
```

* space-group type: P-62m (189)
* energy of formation: 0.027 eV/atom

---

The following is a DFT calculation (meta-GGA SCAN) of a crystal of Pd2PbAu2 relaxed with PBEsol.

POSCAR file:
```
Pd2PbAu2
1.0
3.628 0.000 0.000
0.000 7.079 0.000
0.000 0.000 7.079
Pb Au Pd
2 4 4
direct
0.000 0.000 0.000
0.000 0.500 0.500
0.500 0.156 0.656
0.500 0.656 0.844
0.500 0.844 0.344
0.500 0.344 0.156
0.000 0.362 0.862
0.000 0.862 0.638
0.000 0.638 0.138
0.000 0.138 0.362
```

* space-group type: P4/mbm (127)
* energy of formation: -0.092 eV/atom

---

The following is a DFT calculation (meta-GGA SCAN) of a crystal of PdPb2Au relaxed with PBEsol.

POSCAR file:
```
PdPb2Au
1.0
4.945 0.000 0.000
2.473 4.283 0.000
2.473 1.428 4.038
Pb Au Pd
2 1 1
direct
0.250 0.250 0.250
0.750 0.750 0.750
0.500 0.500 0.500
0.000 0.000 0.000
```

* space-group type: Fm-3m (225)
* energy of formation: -0.032 eV/atom

---

The following is a DFT calculation (meta-GGA SCAN) of a crystal of PrPbAu2 relaxed with PBEsol.

POSCAR file:
```
PrPbAu2
1.0
5.066 0.000 0.000
2.533 4.387 0.000
2.533 1.462 4.136
Pb Pr Au
1 1 2
direct
0.500 0.500 0.500
0.000 0.000 0.000
0.750 0.750 0.750
0.250 0.250 0.250
```

* space-group type: Fm-3m (225)
* energy of formation: -0.741 eV/atom

---

The following is a DFT calculation (meta-GGA SCAN) of a crystal of Pt2PbAu relaxed with PBEsol.

POSCAR file:
```
Pt2PbAu
1.0
3.490 0.000 0.000
0.000 4.540 0.022
0.000 -0.914 4.447
Au Pb Pt
1 1 2
direct
0.500 0.000 0.000
0.500 0.500 0.500
0.000 0.500 0.000
0.000 0.000 0.500
```

* space-group type: Cmmm (65)
* energy of formation: 0.098 eV/atom

---

The following is a DFT calculation (meta-GGA SCAN) of a crystal of Pt2PbAu relaxed with PBEsol.

POSCAR file:
```
Pt2PbAu
1.0
-4.114 -0.004 0.651
0.646 -0.555 4.077
1.814 4.300 -1.829
Au Pb Pt
1 1 2
direct
0.500 0.500 0.000
0.000 0.000 0.000
0.750 0.250 0.500
0.250 0.750 0.500
```

* space-group type: I4/mmm (139)
* energy of formation: 0.108 eV/atom

---

The following is a DFT calculation (meta-GGA SCAN) of a crystal of PtPbAu3 relaxed with PBEsol.

POSCAR file:
```
PtPbAu3
1.0
-0.586 2.206 -4.444
-4.937 0.186 0.743
0.493 4.479 2.158
Pb Au Pt
1 3 1
direct
0.500 0.500 0.500
0.000 0.500 0.000
0.000 0.000 0.500
0.500 0.000 0.000
0.000 0.000 0.000
```

* space-group type: Pm-3m (221)
* energy of formation: 0.450 eV/atom

---

The following is a DFT calculation (meta-GGA SCAN) of a crystal of PtPb2Au relaxed with PBEsol.

POSCAR file:
```
PtPb2Au
1.0
-1.389 -0.509 -2.979
-1.561 -4.614 1.516
-2.900 4.598 2.424
Au Pb Pt
1 2 1
direct
0.776 0.276 0.552
0.014 0.014 0.028
0.220 0.720 0.439
0.490 0.490 0.980
```

* space-group type: Imm2 (44)
* energy of formation: 0.036 eV/atom